Record 1
Material: BaAcFe2O5
Method: DFT, PBE with a Hubbard U
State: relaxed

SG	P4/mmm
spin magnetization	9.0	Bohr magnetons per cell
calculated density	7.0	g cm⁻³
volume	132.14	Å³ per cell
raw total energy	-6.930	eV per atom
density of states at the Fermi level	0.0527	states/eV/atom

Cell lengths 4.0822, 4.0822, 7.9296 Å; angles 90.00, 90.00, 90.00 degrees
Closest atoms and distances in Å follow each position.
Positions (direct):
Ba 0.0000 0.0000 0.0000  12 O 2.89-3.10
Ac 0.0000 0.0000 0.5000  8 O 2.62
Fe 0.5000 0.5000 0.2515  5 O 1.99-2.07
Fe 0.5000 0.5000 0.7485  5 O 1.99-2.07
O 0.0000 0.5000 0.2938  2 Fe 2.07
O 0.0000 0.5000 0.7062  2 Fe 2.07
O 0.5000 0.0000 0.2938  2 Fe 2.07
O 0.5000 0.0000 0.7062  2 Fe 2.07
O 0.5000 0.5000 0.0000  2 Fe 1.99



Record 2
Material: Ba2AcFe2O6
Method: DFT, PBE with a Hubbard U
State: relaxed

SG	R-3m
spin magnetization	9.0	Bohr magnetons per cell
calculated density	5.5	g cm⁻³
volume	214.58	Å³ per cell
raw total energy	-6.685	eV per atom
density of states at the Fermi level	0.0000	states/eV/atom

Cell lengths 7.2829, 7.2829, 7.2829 Å; angles 50.91, 50.91, 50.91 degrees
Closest atoms and distances in Å follow each position.
Positions (direct):
Ba 0.2019 0.2019 0.2019  3 O 2.72
Ba 0.7981 0.7981 0.7981  3 O 2.72
Ac 0.0000 0.0000 0.0000  6 O 2.49
Fe 0.4322 0.4322 0.4322  3 O 1.86
Fe 0.5678 0.5678 0.5678  3 O 1.86
O 0.2327 0.7450 0.7450  1 Fe 1.86
O 0.2550 0.2550 0.7673  1 Fe 1.86
O 0.2550 0.7673 0.2550  1 Fe 1.86
O 0.7450 0.2327 0.7450  1 Fe 1.86
O 0.7450 0.7450 0.2327  1 Fe 1.86
O 0.7673 0.2550 0.2550  1 Fe 1.86



Record 3
Material: BaAc2Fe2O7
Method: DFT, PBE with a Hubbard U
State: relaxed

SG	Imm2
spin magnetization	10.0	Bohr magnetons per cell
calculated density	6.8	g cm⁻³
volume	199.97	Å³ per cell
raw total energy	-7.016	eV per atom
density of states at the Fermi level	0.0000	states/eV/atom

Cell lengths 11.2431, 11.2431, 11.2431 Å; angles 161.29, 32.26, 153.96 degrees
Closest atoms and distances in Å follow each position.
Positions (direct):
Ba 0.0000 0.0000 0.0000  8 O 2.71-3.03
Ac 0.1420 0.4487 0.6934  4 O 2.40-2.60
Ac 0.7553 0.4487 0.3066  4 O 2.40-2.60
Fe 0.4247 0.0104 0.4142  2 O 1.83-1.91
Fe 0.5962 0.0104 0.5858  2 O 1.83-1.91
O 0.0614 0.6502 0.4112  1 Fe 1.83
O 0.1962 0.9309 0.2653  3 Ac 2.40-2.60
O 0.2389 0.6502 0.5888  1 Fe 1.83
O 0.5370 0.6508 0.8863  2 Fe 2.05
O 0.6042 0.1042 0.5000  2 Fe 1.91
O 0.6656 0.9309 0.7347  3 Ac 2.40-2.60
O 0.7645 0.6508 0.1137  2 Fe 2.05



Record 4
Material: Ba3AcFe2O9
Method: DFT, PBE with a Hubbard U
State: relaxed

SG	P-3m1
spin magnetization	7.0	Bohr magnetons per cell
calculated density	6.5	g cm⁻³
volume	229.35	Å³ per cell
raw total energy	-6.464	eV per atom
density of states at the Fermi level	0.5099	states/eV/atom

Cell lengths 5.9112, 5.9112, 7.5789 Å; angles 90.00, 90.00, 120.00 degrees
Closest atoms and distances in Å follow each position.
Positions (direct):
Ba 0.0000 0.0000 0.0000  12 O 2.92-2.96
Ba 0.3333 0.6667 0.7107  9 O 2.78-2.96
Ba 0.6667 0.3333 0.2893  9 O 2.78-2.96
Ac 0.0000 0.0000 0.5000  6 O 2.38
Fe 0.3333 0.6667 0.1583  6 O 1.91-2.09
Fe 0.6667 0.3333 0.8417  6 O 1.91-2.09
O 0.0000 0.5000 0.0000  2 Fe 2.09
O 0.1789 0.3578 0.3002  1 Fe 1.91
O 0.1789 0.8211 0.3002  1 Fe 1.91
O 0.3578 0.1789 0.6998  1 Fe 1.91
O 0.5000 0.0000 0.0000  2 Fe 2.09
O 0.5000 0.5000 0.0000  2 Fe 2.09
O 0.6422 0.8211 0.3002  1 Fe 1.91
O 0.8211 0.1789 0.6998  1 Fe 1.91
O 0.8211 0.6422 0.6998  1 Fe 1.91